Record 1
! CuBiIO2 PBE relaxed; values from VASP
&SYSTEM
  ibrav = 0, nat = 10, ntyp = 4
/
ATOMIC_SPECIES
O 16.00 O.upf
I 126.90 I.upf
Cu 63.55 Cu.upf
Bi 208.98 Bi.upf
CELL_PARAMETERS angstrom
4.0588 0.0000 0.0000
0.0000 7.4854 -0.1880
0.0000 -1.9177 7.2677
ATOMIC_POSITIONS angstrom
O 1.0147 2.6058 4.4819
O 1.0147 3.3269 0.7761
O 3.0441 2.2409 6.3036
O 3.0441 2.9620 2.5978
I 3.0441 6.7070 1.6315
I 1.0147 -1.1392 5.4482
Cu 3.0441 2.3831 4.4145
Cu 1.0147 3.1847 2.6652
Bi 3.0441 2.2188 0.3485
Bi 1.0147 3.3490 6.7312
! Calculated density (Mg/m³): 6.53
! Formation energy (no corrections) (eV/atom): -0.74
! ΔE to the lowest computed polymorph (meV/atom): 0

***

Record 2
! K9Sm3Si12O32F2 PBE relaxed; values from VASP
&SYSTEM
  ibrav = 0, nat = 58, ntyp = 5
/
ATOMIC_SPECIES
O 16.00 O.upf
Si 28.09 Si.upf
K 39.10 K.upf
Sm 150.36 Sm.upf
F 19.00 F.upf
CELL_PARAMETERS angstrom
-1.1289 6.8954 0.3809
-6.5467 0.3973 9.5155
9.2813 1.2250 6.8991
ATOMIC_POSITIONS angstrom
O 3.0813 6.0348 5.5971
O 0.0482 2.2826 3.2966
O 1.5576 6.2352 13.4988
O -4.5533 5.3303 9.4805
O 1.5698 3.9358 4.7478
O -0.3884 5.0205 14.6751
O 3.2592 5.0288 11.7391
O 3.1055 7.7282 11.8902
O -1.4997 0.7895 4.9053
O -2.2571 5.0519 10.8002
O -5.1325 5.1522 6.9638
O -2.8582 3.9852 7.8291
O -3.1475 6.7098 7.7206
O 6.1590 3.1875 7.3150
O 6.7383 3.3655 9.8317
O -1.4755 2.4829 11.1984
O 2.5423 1.5273 3.8868
O 1.9942 3.4973 2.1204
O -0.1679 1.6911 7.1005
O 5.8116 1.9241 4.9903
O 1.7737 6.8266 9.6950
O -0.1305 4.0981 9.4744
O 2.4052 2.3757 10.3273
O 0.0360 4.5820 12.0477
O 4.7533 1.8080 9.0749
O 4.4640 4.5325 8.9664
O -4.2058 6.5936 11.8052
O -1.6534 3.4889 5.0564
O -0.7994 6.1421 6.4682
O -0.9365 6.9905 12.9087
O 3.8629 3.4658 5.9953
O 1.7363 4.4197 7.3211
Si 5.4807 3.2589 5.8024
Si 3.0065 6.2778 12.7079
Si 1.6065 2.7771 3.5645
Si -3.8579 5.2305 7.9798
Si -0.9926 3.9779 10.8546
Si -0.0007 5.7407 13.2310
Si -1.9074 7.2806 6.7506
Si 3.5132 1.2371 10.0449
Si 5.4636 3.2872 8.8157
Si 2.5984 4.5398 5.9409
Si -3.8749 5.2589 10.9931
Si -1.4007 2.2400 4.0876
K 2.5438 0.8672 6.6551
K 5.7832 6.3763 10.7003
K -0.5644 3.4477 0.1904
K 1.7344 2.4311 13.1476
K -4.1774 2.1415 6.0952
K -0.9381 7.6506 10.1404
K 5.3748 6.7728 7.1771
K -3.7690 1.7450 9.6184
K -0.1286 6.0867 3.6479
Sm -0.6377 3.9482 7.1364
Sm 2.2435 4.5695 9.6591
Sm 4.6407 0.6125 3.4496
F -1.8322 5.2794 1.7981
F 3.4379 3.2383 14.9974
! Calculated density (Mg/m³): 3.03
! Formation energy (no corrections) (eV/atom): -2.79

***

Record 3
! SrHoAs PBE relaxed; values from VASP
&SYSTEM
  ibrav = 0, nat = 6, ntyp = 3
/
ATOMIC_SPECIES
Sr 87.62 Sr.upf
Ho 164.93 Ho.upf
As 74.92 As.upf
CELL_PARAMETERS angstrom
-4.0661 -1.9564 -3.5341
3.7094 0.1770 -4.3658
1.7340 -5.8377 1.2365
ATOMIC_POSITIONS angstrom
Sr 2.7211 -2.8283 -1.5650
Sr -1.1655 -3.8990 -1.1484
Ho 0.0000 0.0000 0.0000
Ho -0.1784 -0.8897 -3.9499
As 3.5878 -5.7465 -0.9469
As -2.0323 -0.9808 -1.7665
! Calculated density (Mg/m³): 5.33
! Calculated formation energy (eV per formula unit): -2.530

***

Record 4
! Tb5IrRh4 PBE relaxed; values from VASP
&SYSTEM
  ibrav = 0, nat = 10, ntyp = 3
/
ATOMIC_SPECIES
Ir 192.22 Ir.upf
Tb 158.93 Tb.upf
Rh 102.91 Rh.upf
CELL_PARAMETERS angstrom
-0.4106 1.4335 3.0603
-3.2045 -1.1442 0.1060
5.5516 -14.8357 7.6941
ATOMIC_POSITIONS angstrom
Ir 0.0000 0.0000 0.0000
Tb -0.1417 -4.3072 3.8919
Tb -1.2578 -1.3245 2.3451
Tb 2.0782 -10.2393 6.9684
Tb 3.1943 -13.2220 8.5153
Tb 0.9683 -7.2732 5.4302
Rh 2.2219 -5.9377 3.0794
Rh 1.1162 -2.9830 1.5470
Rh 3.3297 -8.8980 4.6147
Rh 4.4354 -11.8528 6.1471
! Calculated density (Mg/m³): 11.38
! Calculated formation energy (eV per formula unit): -8.252

***

Record 5
! LiPdSeN2 PBE relaxed; values from VASP
&SYSTEM
  ibrav = 0, nat = 5, ntyp = 4
/
ATOMIC_SPECIES
Se 78.96 Se.upf
N 14.01 N.upf
Pd 106.42 Pd.upf
Li 6.94 Li.upf
CELL_PARAMETERS angstrom
-1.9729 -3.4324 -0.4191
-0.2629 -0.3322 3.9585
-4.7032 2.7136 -0.0847
ATOMIC_POSITIONS angstrom
Se -2.3516 1.3568 -0.0424
N -0.9864 -1.7162 -0.2095
N -0.1315 -0.1661 1.9793
Pd 0.0000 0.0000 0.0000
Li -3.4695 -0.5255 1.7274
! Calculated density (Mg/m³): 4.25
! Formation energy (no corrections) (eV/atom): 1.00
! ΔE to the lowest computed polymorph (meV/atom): 0

***

Record 6
! YRe3S PBE relaxed; values from VASP
&SYSTEM
  ibrav = 0, nat = 5, ntyp = 3
/
ATOMIC_SPECIES
Re 186.21 Re.upf
Y 88.91 Y.upf
S 32.06 S.upf
CELL_PARAMETERS angstrom
-2.9607 -0.0733 3.3324
0.1166 -4.4567 0.0055
3.3312 0.0908 2.9616
ATOMIC_POSITIONS angstrom
Re -1.4803 -0.0367 1.6662
Re 0.0583 -2.2284 0.0027
Re 1.6656 0.0454 1.4808
Y 0.2435 -2.2197 3.1497
S 0.0000 0.0000 0.0000
! Calculated density (Mg/m³): 12.74
! Formation energy (no corrections) (eV/atom): 0.49
! ΔE to the lowest computed polymorph (meV/atom): 0

***

Record 7
! CaZrAs2Se PBE relaxed; values from VASP
&SYSTEM
  ibrav = 0, nat = 5, ntyp = 4
/
ATOMIC_SPECIES
Ca 40.08 Ca.upf
Zr 91.22 Zr.upf
As 74.92 As.upf
Se 78.96 Se.upf
CELL_PARAMETERS angstrom
-0.1643 -5.0941 -1.0548
5.1153 0.0338 -0.9603
0.9490 -1.0695 5.0171
ATOMIC_POSITIONS angstrom
Ca 2.9500 -3.0649 1.5010
Zr 0.0000 0.0000 0.0000
As 2.5576 0.0169 -0.4802
As -0.0822 -2.5470 -0.5274
Se 0.4745 -0.5347 2.5086
! Calculated density (Mg/m³): 4.23
! Formation energy (no corrections) (eV/atom): -0.62
! ΔE to the lowest computed polymorph (meV/atom): 0

***

Record 8
! CaNb2FeN4 PBE relaxed; values from VASP
&SYSTEM
  ibrav = 0, nat = 16, ntyp = 4
/
ATOMIC_SPECIES
N 14.01 N.upf
Nb 92.91 Nb.upf
Ca 40.08 Ca.upf
Fe 55.84 Fe.upf
CELL_PARAMETERS angstrom
3.1229 0.0000 0.0000
-1.5615 5.3835 0.0000
0.0000 0.0000 10.8641
ATOMIC_POSITIONS angstrom
N 0.0000 4.7093 8.1481
N 0.0000 0.0000 5.4320
N 1.5615 0.6742 2.7160
N 1.5615 2.4697 9.6270
N 0.0000 0.0000 0.0000
N 0.0000 2.9137 1.2371
N 0.0000 2.9137 4.1949
N 1.5615 2.4697 6.6691
Nb 1.5615 1.4172 4.8880
Nb 1.5615 1.4172 0.5440
Nb 0.0000 3.9662 5.9761
Nb 0.0000 3.9662 10.3200
Ca 0.0000 1.1470 8.1481
Ca 1.5615 4.2364 2.7160
Fe 0.0000 1.7128 2.7160
Fe 1.5615 3.6707 8.1481
! Calculated density (Mg/m³): 6.14
! Formation energy (no corrections) (eV/atom): -0.86